1.
The following is a GGA-PBE calculation of crystalline K2MnPbI6 at its relaxed geometry, from Alexandria via LeMat-Bulk.

Cell lengths 8.477, 8.477, 8.422 Å; angles 59.78, 59.78, 60.00 degrees
Fractional positions:
K 0.533 0.533 0.401
K 0.099 0.099 0.702
Mn 0.316 0.316 0.052
Pb 0.816 0.816 0.551
I 0.545 0.174 0.293
I 0.174 0.988 0.293
I 0.988 0.545 0.293
I 0.459 0.644 0.810
I 0.644 0.087 0.810
I 0.087 0.459 0.810

Results
uncorrected formation energy = -0.880 eV per atom
electronic total energy = -0.122 Ha/atom
space group = R-3

***

2.
The following is a GGA-PBE calculation of crystalline KPmMnI6 at its relaxed geometry, from Alexandria via LeMat-Bulk.

Cell lengths 7.795, 7.795, 15.678 Å; angles 90.00, 90.00, 120.00 degrees
Fractional positions:
K 0.000 0.000 0.000
K 0.000 0.000 0.500
Pm 0.333 0.667 0.250
Pm 0.667 0.333 0.750
Mn 0.667 0.333 0.250
Mn 0.333 0.667 0.750
I 0.641 0.623 0.139
I 0.982 0.359 0.139
I 0.359 0.982 0.639
I 0.018 0.641 0.861
I 0.377 0.359 0.361
I 0.982 0.623 0.361
I 0.623 0.982 0.861
I 0.641 0.018 0.361
I 0.018 0.377 0.639
I 0.377 0.018 0.139
I 0.623 0.641 0.639
I 0.359 0.377 0.861

Results
N(E_F) = 0.00 states/eV/cell
uncorrected formation energy = -1.090 eV per atom
electronic total energy = -0.139 Ha/atom
space group = P-31c

***

3.
The following is a GGA-PBE calculation of crystalline KPuMnI6 at its relaxed geometry, from Alexandria via LeMat-Bulk.

Cell lengths 7.824, 7.824, 15.495 Å; angles 90.00, 90.00, 120.00 degrees
Fractional positions:
K 0.000 0.000 0.000
K 0.000 0.000 0.500
Pu 0.333 0.667 0.250
Pu 0.667 0.333 0.750
Mn 0.667 0.333 0.250
Mn 0.333 0.667 0.750
I 0.642 0.624 0.140
I 0.981 0.358 0.140
I 0.358 0.981 0.640
I 0.019 0.642 0.860
I 0.376 0.358 0.360
I 0.981 0.624 0.360
I 0.624 0.981 0.860
I 0.642 0.019 0.360
I 0.019 0.376 0.640
I 0.376 0.019 0.140
I 0.624 0.642 0.640
I 0.358 0.376 0.860

Results
N(E_F) = 26.66 states/eV/cell
uncorrected formation energy = -0.932 eV per atom
electronic total energy = -0.173 Ha/atom
space group = P-31c

***

4.
The following is a GGA-PBE calculation of crystalline KPu2MnI8 at its relaxed geometry, from Alexandria via LeMat-Bulk.

Cell lengths 7.618, 7.237, 9.519 Å; angles 89.97, 89.98, 87.12 degrees
Fractional positions:
K 0.000 0.000 0.500
Pu 0.500 0.500 0.760
Pu 0.500 0.500 0.240
Mn 0.000 0.000 0.000
I 0.157 0.767 0.211
I 0.667 0.747 0.000
I 0.842 0.232 0.211
I 0.843 0.233 0.789
I 0.333 0.253 0.000
I 0.158 0.768 0.789
I 0.638 0.727 0.500
I 0.362 0.273 0.500

Results
N(E_F) = 33.88 states/eV/cell
uncorrected formation energy = -0.946 eV per atom
electronic total energy = -0.192 Ha/atom
space group = P2/m

***

5.
The following is a GGA-PBE calculation of crystalline KRb3Mn4I12 at its relaxed geometry, from Alexandria via LeMat-Bulk.

Cell lengths 11.008, 11.008, 11.008 Å; angles 103.29, 103.29, 103.29 degrees
Fractional positions:
K 0.000 0.000 0.000
Rb 0.528 0.472 0.000
Rb 0.472 0.000 0.528
Rb 0.000 0.528 0.472
Mn 0.964 0.036 0.500
Mn 0.036 0.500 0.964
Mn 0.500 0.964 0.036
Mn 0.500 0.500 0.500
I 0.500 0.349 0.651
I 0.885 0.500 0.115
I 0.115 0.885 0.500
I 0.500 0.115 0.885
I 0.335 0.966 0.175
I 0.175 0.335 0.966
I 0.966 0.175 0.335
I 0.665 0.825 0.034
I 0.034 0.665 0.825
I 0.825 0.034 0.665
I 0.651 0.500 0.349
I 0.349 0.651 0.500

Results
N(E_F) = 0.00 states/eV/cell
uncorrected formation energy = -0.774 eV per atom
electronic total energy = -0.137 Ha/atom
space group = R32

***

6.
The following is a GGA-PBE calculation of crystalline KRb2MnI6 at its relaxed geometry, from Alexandria via LeMat-Bulk.

Cell lengths 8.256, 9.174, 11.994 Å; angles 90.00, 89.79, 90.00 degrees
Fractional positions:
K 0.500 0.000 0.000
K 0.000 0.500 0.500
Rb 0.035 0.910 0.239
Rb 0.535 0.590 0.740
Rb 0.965 0.090 0.761
Rb 0.465 0.410 0.260
Mn 0.500 0.000 0.500
Mn 0.000 0.500 0.000
I 0.275 0.653 0.044
I 0.775 0.847 0.544
I 0.725 0.347 0.956
I 0.225 0.153 0.456
I 0.327 0.714 0.446
I 0.827 0.786 0.946
I 0.673 0.286 0.554
I 0.173 0.214 0.054
I 0.903 0.522 0.215
I 0.403 0.978 0.715
I 0.097 0.478 0.785
I 0.597 0.022 0.285

Results
N(E_F) = 3.61 states/eV/cell
uncorrected formation energy = -0.993 eV per atom
electronic total energy = -0.115 Ha/atom
space group = P2_1/c

***

7.
The following is a GGA-PBE calculation of crystalline KRbMn2I6 at its relaxed geometry, from Alexandria via LeMat-Bulk.

Cell lengths 10.869, 10.869, 8.477 Å; angles 101.67, 101.67, 84.58 degrees
Fractional positions:
K 0.600 0.400 0.250
K 0.400 0.600 0.750
Rb 0.178 0.822 0.250
Rb 0.822 0.178 0.750
Mn 0.299 0.124 0.750
Mn 0.876 0.701 0.750
Mn 0.701 0.876 0.250
Mn 0.124 0.299 0.250
I 0.896 0.396 0.145
I 0.604 0.104 0.355
I 0.104 0.604 0.855
I 0.396 0.896 0.645
I 0.177 0.103 0.002
I 0.897 0.823 0.498
I 0.823 0.897 0.998
I 0.103 0.177 0.502
I 0.290 0.477 0.333
I 0.523 0.710 0.167
I 0.710 0.523 0.667
I 0.477 0.290 0.833

Results
N(E_F) = 0.00 states/eV/cell
uncorrected formation energy = -0.856 eV per atom
electronic total energy = -0.141 Ha/atom
space group = C2/c

***

8.
The following is a GGA-PBE calculation of crystalline KRb2MnI6 at its relaxed geometry, from Alexandria via LeMat-Bulk.

Cell lengths 8.677, 8.677, 8.675 Å; angles 59.99, 59.99, 90.00 degrees
Fractional positions:
I 0.227 0.227 0.546
I 0.773 0.773 0.454
I 0.227 0.227 0.000
I 0.773 0.773 0.000
I 0.773 0.227 0.000
I 0.227 0.773 0.000
K 0.500 0.500 0.000
Mn 0.000 0.000 0.000
Rb 0.750 0.250 0.500
Rb 0.250 0.750 0.500

Results
N(E_F) = 1.37 states/eV/cell
uncorrected formation energy = -0.955 eV per atom
electronic total energy = -0.114 Ha/atom
space group = Fm-3m

***

9.
The following is a GGA-PBE calculation of crystalline KMnSbI2 at its relaxed geometry, from Alexandria via LeMat-Bulk.

Cell lengths 5.993, 5.993, 5.138 Å; angles 90.00, 90.00, 90.00 degrees
Fractional positions:
I 0.000 0.500 0.000
I 0.500 0.000 0.000
Sb 0.000 0.000 0.500
K 0.500 0.500 0.500
Mn 0.000 0.000 0.000

Results
N(E_F) = 1.04 states/eV/cell
uncorrected formation energy = -0.337 eV per atom
electronic total energy = -0.141 Ha/atom
space group = P4/mmm

***

10.
The following is a GGA-PBE calculation of crystalline KMnSb2I at its relaxed geometry, from Alexandria via LeMat-Bulk.

Cell lengths 4.914, 4.914, 6.457 Å; angles 90.00, 90.00, 90.00 degrees
Fractional positions:
I 0.000 0.000 0.500
Sb 0.000 0.500 0.000
Sb 0.500 0.000 0.000
K 0.500 0.500 0.500
Mn 0.000 0.000 0.000

Results
N(E_F) = 4.98 states/eV/cell
uncorrected formation energy = -0.021 eV per atom
electronic total energy = -0.148 Ha/atom
space group = P4/mmm

***

11.
The following is a GGA-PBE calculation of crystalline KSmMnI6 at its relaxed geometry, from Alexandria via LeMat-Bulk.

Cell lengths 7.783, 7.783, 15.681 Å; angles 90.00, 90.00, 120.00 degrees
Fractional positions:
K 0.000 0.000 0.000
K 0.000 0.000 0.500
Sm 0.333 0.667 0.250
Sm 0.667 0.333 0.750
Mn 0.667 0.333 0.250
Mn 0.333 0.667 0.750
I 0.640 0.623 0.140
I 0.983 0.360 0.140
I 0.360 0.983 0.640
I 0.017 0.640 0.860
I 0.377 0.360 0.360
I 0.983 0.623 0.360
I 0.623 0.983 0.860
I 0.640 0.017 0.360
I 0.017 0.377 0.640
I 0.377 0.017 0.140
I 0.623 0.640 0.640
I 0.360 0.377 0.860

Results
N(E_F) = 0.00 states/eV/cell
uncorrected formation energy = -1.089 eV per atom
electronic total energy = -0.139 Ha/atom
space group = P-31c

***

12.
The following is a GGA-PBE calculation of crystalline K2MnSnI6 at its relaxed geometry, from Alexandria via LeMat-Bulk.

Cell lengths 8.418, 8.419, 8.380 Å; angles 59.82, 59.83, 59.99 degrees
Fractional positions:
K 0.536 0.535 0.394
K 0.097 0.097 0.709
Mn 0.316 0.316 0.052
Sn 0.816 0.816 0.552
I 0.550 0.167 0.293
I 0.167 0.990 0.294
I 0.991 0.549 0.294
I 0.466 0.642 0.809
I 0.642 0.083 0.809
I 0.083 0.466 0.809

Results
uncorrected formation energy = -0.840 eV per atom
electronic total energy = -0.122 Ha/atom
space group = P-1

***

13.
The following is a GGA-PBE calculation of crystalline KMnSn2I8 at its relaxed geometry, from Alexandria via LeMat-Bulk.

Cell lengths 7.559, 7.162, 9.489 Å; angles 90.09, 90.03, 86.56 degrees
Fractional positions:
K 0.000 0.000 0.500
Mn 0.000 0.000 0.000
Sn 0.500 0.501 0.764
Sn 0.500 0.499 0.236
I 0.154 0.774 0.205
I 0.674 0.752 0.000
I 0.846 0.227 0.205
I 0.846 0.226 0.795
I 0.326 0.248 0.000
I 0.154 0.773 0.795
I 0.649 0.713 0.501
I 0.351 0.287 0.499

Results
N(E_F) = 5.80 states/eV/cell
uncorrected formation energy = -0.546 eV per atom
electronic total energy = -0.114 Ha/atom
space group = P-1

***

14.
The following is a GGA-PBE calculation of crystalline KSrMn2I8 at its relaxed geometry, from Alexandria via LeMat-Bulk.

Cell lengths 7.584, 7.584, 11.019 Å; angles 90.00, 90.00, 120.00 degrees
Fractional positions:
K 0.000 0.000 0.000
Sr 0.000 0.000 0.500
Mn 0.667 0.333 0.242
Mn 0.333 0.667 0.758
I 0.333 0.667 0.995
I 0.335 0.341 0.311
I 0.659 0.994 0.311
I 0.667 0.333 0.005
I 0.341 0.006 0.689
I 0.665 0.659 0.689
I 0.994 0.335 0.689
I 0.006 0.665 0.311

Results
N(E_F) = 11.32 states/eV/cell
uncorrected formation energy = -0.832 eV per atom
electronic total energy = -0.133 Ha/atom
space group = P-3

***

15.
The following is a GGA-PBE calculation of crystalline K2SrMnI6 at its relaxed geometry, from Alexandria via LeMat-Bulk.

Cell lengths 8.531, 8.531, 8.472 Å; angles 59.76, 59.76, 59.99 degrees
Fractional positions:
K 0.531 0.531 0.407
K 0.101 0.101 0.696
Sr 0.816 0.816 0.552
Mn 0.316 0.316 0.051
I 0.543 0.178 0.293
I 0.178 0.986 0.293
I 0.986 0.543 0.293
I 0.454 0.646 0.810
I 0.646 0.089 0.810
I 0.089 0.454 0.810

Results
N(E_F) = 0.00 states/eV/cell
uncorrected formation energy = -1.194 eV per atom
electronic total energy = -0.126 Ha/atom
space group = R-3

***

16.
The following is a GGA-PBE calculation of crystalline KSr2MnI8 at its relaxed geometry, from Alexandria via LeMat-Bulk.

Cell lengths 7.926, 7.202, 9.699 Å; angles 90.00, 90.01, 86.88 degrees
Fractional positions:
K 0.000 0.000 0.500
Sr 0.500 0.500 0.765
Sr 0.500 0.500 0.235
Mn 0.000 0.000 0.000
I 0.136 0.774 0.196
I 0.666 0.760 0.000
I 0.865 0.226 0.196
I 0.864 0.226 0.804
I 0.334 0.240 0.000
I 0.135 0.774 0.804
I 0.710 0.654 0.500
I 0.290 0.346 0.500

Results
uncorrected formation energy = -1.138 eV per atom
electronic total energy = -0.122 Ha/atom
space group = P2/m

***

17.
The following is a GGA-PBE calculation of crystalline KSrMnI5 at its relaxed geometry, from Alexandria via LeMat-Bulk.

Cell lengths 8.671, 8.671, 11.642 Å; angles 104.31, 104.31, 104.94 degrees
Fractional positions:
K 0.354 0.646 0.250
K 0.646 0.354 0.750
Sr 0.000 0.000 0.500
Sr 0.000 0.000 0.000
Mn 0.682 0.318 0.250
Mn 0.318 0.682 0.750
I 0.100 0.900 0.250
I 0.900 0.100 0.750
I 0.922 0.343 0.139
I 0.078 0.657 0.861
I 0.657 0.078 0.361
I 0.343 0.922 0.639
I 0.734 0.606 0.436
I 0.266 0.394 0.564
I 0.394 0.266 0.064
I 0.606 0.734 0.936

Results
N(E_F) = 0.00 states/eV/cell
uncorrected formation energy = -1.160 eV per atom
electronic total energy = -0.133 Ha/atom
space group = C2/c

***

18.
The following is a GGA-PBE calculation of crystalline KTbMnI6 at its relaxed geometry, from Alexandria via LeMat-Bulk.

Cell lengths 7.712, 7.712, 15.748 Å; angles 90.00, 90.00, 120.00 degrees
Fractional positions:
K 0.000 0.000 0.000
K 0.000 0.000 0.500
Tb 0.333 0.667 0.250
Tb 0.667 0.333 0.750
Mn 0.667 0.333 0.250
Mn 0.333 0.667 0.750
I 0.638 0.626 0.141
I 0.987 0.362 0.141
I 0.362 0.987 0.641
I 0.013 0.638 0.859
I 0.374 0.362 0.359
I 0.987 0.626 0.359
I 0.626 0.987 0.859
I 0.638 0.013 0.359
I 0.013 0.374 0.641
I 0.374 0.013 0.141
I 0.626 0.638 0.641
I 0.362 0.374 0.859

Results
N(E_F) = 0.00 states/eV/cell
uncorrected formation energy = -1.087 eV per atom
electronic total energy = -0.139 Ha/atom
space group = P-31c

***

19.
The following is a GGA-PBE calculation of crystalline KMnTeI2 at its relaxed geometry, from Alexandria via LeMat-Bulk.

Cell lengths 6.333, 6.333, 6.323 Å; angles 90.00, 90.00, 90.00 degrees
Fractional positions:
I 0.000 0.500 0.000
I 0.500 0.000 0.000
K 0.000 0.000 0.000
Te 0.000 0.000 0.500
Mn 0.500 0.500 0.500

Results
N(E_F) = 10.37 states/eV/cell
uncorrected formation energy = 0.567 eV per atom
electronic total energy = -0.101 Ha/atom
space group = P4/mmm

***

20.
The following is a GGA-PBE calculation of crystalline KMnTeI2 at its relaxed geometry, from Alexandria via LeMat-Bulk.

Cell lengths 5.831, 5.831, 5.333 Å; angles 90.00, 90.00, 90.00 degrees
Fractional positions:
I 0.000 0.500 0.000
I 0.500 0.000 0.000
K 0.500 0.500 0.500
Te 0.000 0.000 0.500
Mn 0.000 0.000 0.000

Results
N(E_F) = 4.39 states/eV/cell
uncorrected formation energy = -0.529 eV per atom
electronic total energy = -0.141 Ha/atom
space group = P4/mmm

***

| no. | theoretical density (g/cm3) |
| --- | --- |
| 1 | 4.29 |
| 2 | 4.03 |
| 3 | 4.45 |
| 4 | 5.06 |
| 5 | 2.81 |
| 6 | 3.75 |
| 7 | 3.45 |
| 8 | 3.69 |
| 9 | 4.23 |
| 10 | 4.95 |
| 11 | 4.06 |
| 12 | 4.02 |
| 13 | 4.36 |
| 14 | 3.79 |
| 15 | 3.75 |
| 16 | 3.86 |
| 17 | 3.51 |
| 18 | 4.15 |
| 19 | 3.11 |
| 20 | 4.35 |